Density functional theory data (PBE) for crystalline K2Nb2P at its relaxed geometry.

```
10
Lattice="6.4690 0.0000 0.0000 0.0000 6.4690 0.0000 0.0000 0.0000 6.3981" Properties=species:S:1:pos:R:3 pbc="T T T"
K 1.2119 2.0225 0.0000
K 2.0225 5.2570 0.0000
K 4.4464 1.2119 0.0000
K 5.2570 4.4464 0.0000
Nb 0.9707 4.2052 3.1991
Nb 2.2638 0.9707 3.1991
Nb 4.2052 5.4983 3.1991
Nb 5.4983 2.2638 3.1991
P 0.0000 0.0000 3.1991
P 3.2345 3.2345 3.1991
```

Calculated values
Energy above the lowest structure with this stoichiometry (eV/atom): 0.000
DFT formation energy (eV per atom): 0.41
Magnetic moment (μB/atom): 0.320



Density functional theory data (PBE) for crystalline TaFeSe2 at its relaxed geometry.

```
4
Lattice="3.2428 0.0000 0.0000 0.0000 3.2304 0.0000 -0.6248 0.0000 6.3157" Properties=species:S:1:pos:R:3 pbc="T T T"
Ta 0.0000 0.0000 0.0000
Fe -0.3124 0.0000 3.1578
Se 0.9612 1.6152 4.7777
Se 1.6568 1.6152 1.5379
```

Calculated values
Energy above the lowest structure with this stoichiometry (eV/atom): 0.434
Magnetic moment (μB/atom): 0.746



Density functional theory data (PBE) for crystalline HfAlReIr at its relaxed geometry.

```
4
Lattice="0.0000 3.1663 3.1663 3.1663 0.0000 3.1663 3.1663 3.1663 0.0000" Properties=species:S:1:pos:R:3 pbc="T T T"
Hf 0.0000 0.0000 0.0000
Al 3.1663 3.1663 3.1663
Re 4.7495 4.7495 4.7495
Ir 1.5832 1.5832 1.5832
```

Calculated values
DFT formation energy (eV per atom): -0.55
Magnetic moment (μB/atom): 0.000



Density functional theory data (PBE) for crystalline Cd2CoTe at its relaxed geometry.

```
4
Lattice="2.7380 -5.7525 0.0000 2.7380 5.7525 0.0000 -1.9533 0.0000 2.7392" Properties=species:S:1:pos:R:3 pbc="T T T"
Cd 1.3690 2.8762 0.0000
Cd 1.3690 -2.8762 0.0000
Co 0.0000 0.0000 0.0000
Te 2.7380 0.0000 0.0000
```

Calculated values
Magnetic moment (μB/atom): 0.398



Number 1: total energy -5.137 eV per atom. Number 2: total energy -6.913 eV per atom. Number 3: total energy -9.299 eV per atom. Number 4: total energy -2.649 eV per atom.